This record from Alexandria describes a relaxed structure of Y2TlAg3. The functional is PBE-GGA.

Spin magnetization: 0.00 μB/cell
Relative energy among the computed polymorphs: 0 meV per atom
ΔE_f: -1.6 eV/f.u.
SG: No. 69

Unit cell a=9.7706 b=9.1351 c=5.9180 alpha=77.71 beta=66.00 gamma=36.29
Positions (direct):
1 Y 0.2452 0.7548 0.7548
2 Y 0.2500 0.2500 0.2500
3 Y 0.7500 0.7500 0.7500
4 Y 0.7548 0.2452 0.2452
5 Tl 0.3339 0.3339 0.6661
6 Tl 0.6661 0.6661 0.3339
7 Ag 0.1649 0.6717 0.3283
8 Ag 0.1655 0.1655 0.8345
9 Ag 0.3283 0.8351 0.1649
10 Ag 0.6717 0.1649 0.8351
11 Ag 0.8345 0.8345 0.1655
12 Ag 0.8351 0.3283 0.6717



This record from Alexandria describes a relaxed structure of KCeReO6. The functional is PBE-GGA.

Spin magnetization: 0.00 μB/cell
Final energy: -7.6921 eV per atom
SG: No. 149

Unit cell a=5.6610 b=5.6610 c=5.7748 alpha=90.00 beta=90.00 gamma=120.00
Positions (direct):
1 K 0.0000 0.0000 0.0000
2 Ce 0.3333 0.6667 0.5000
3 Re 0.6667 0.3333 0.5000
4 O 0.4047 0.0439 0.6876
5 O 0.4047 0.3609 0.3124
6 O 0.6391 0.0439 0.3124
7 O 0.6391 0.5953 0.6876
8 O 0.9561 0.3609 0.6876
9 O 0.9561 0.5953 0.3124



This record from Alexandria describes a relaxed structure of PmTlSnCl6. The functional is PBE-GGA.

Spin magnetization: 0.00 μB/cell
Final energy: -4.0592 eV per atom
SG: No. 163

Unit cell a=7.3615 b=7.3615 c=13.6097 alpha=90.00 beta=90.00 gamma=120.00
Positions (direct):
1 Pm 0.3333 0.6667 0.2500
2 Pm 0.6667 0.3333 0.7500
3 Tl 0.0000 0.0000 0.0000
4 Tl 0.0000 0.0000 0.5000
5 Sn 0.3333 0.6667 0.7500
6 Sn 0.6667 0.3333 0.2500
7 Cl 0.0131 0.3732 0.1369
8 Cl 0.0131 0.6399 0.3631
9 Cl 0.3601 0.3732 0.3631
10 Cl 0.3601 0.9869 0.1369
11 Cl 0.3732 0.0131 0.6369
12 Cl 0.3732 0.3601 0.8631
13 Cl 0.6268 0.6399 0.1369
14 Cl 0.6268 0.9869 0.3631
15 Cl 0.6399 0.0131 0.8631
16 Cl 0.6399 0.6268 0.6369
17 Cl 0.9869 0.3601 0.6369
18 Cl 0.9869 0.6268 0.8631



This record from Alexandria describes a relaxed structure of Ho4ZnRh4. The functional is PBE-GGA.

Spin magnetization: 0.00 μB/cell
ΔE_f: -5.8 eV/f.u.
SG: No. 86

Unit cell a=8.4349 b=8.4349 c=5.4805 alpha=90.00 beta=90.00 gamma=90.00
Positions (direct):
1 Ho 0.0490 0.6817 0.1217
2 Ho 0.1817 0.9510 0.6217
3 Ho 0.3183 0.5490 0.6217
4 Ho 0.4510 0.8183 0.1217
5 Ho 0.5490 0.1817 0.8783
6 Ho 0.6817 0.4510 0.3783
7 Ho 0.8183 0.0490 0.3783
8 Ho 0.9510 0.3183 0.8783
9 Zn 0.2500 0.2500 0.2500
10 Zn 0.7500 0.7500 0.7500
11 Rh 0.0030 0.6382 0.6215
12 Rh 0.1382 0.9970 0.1215
13 Rh 0.3618 0.5030 0.1215
14 Rh 0.4970 0.8618 0.6215
15 Rh 0.5030 0.1382 0.3785
16 Rh 0.6382 0.4970 0.8785
17 Rh 0.8618 0.0030 0.8785
18 Rh 0.9970 0.3618 0.3785



This record from Alexandria describes a relaxed structure of Pm2NdMg8. The functional is PBE-GGA.

Spin magnetization: 0.00 μB/cell
ΔE_f: 0.2 eV/f.u.
SG: No. 71

Unit cell a=8.9355 b=8.9355 c=8.9355 alpha=145.76 beta=131.18 gamma=60.98
Positions (direct):
1 Pm 0.1953 0.1953 0.0000
2 Pm 0.8047 0.8047 0.0000
3 Nd 0.5000 0.5000 0.0000
4 Mg 0.0668 0.3528 0.7139
5 Mg 0.2143 0.0000 0.2143
6 Mg 0.3393 0.8393 0.5000
7 Mg 0.3611 0.6472 0.7139
8 Mg 0.6389 0.3528 0.2861
9 Mg 0.6607 0.1607 0.5000
10 Mg 0.7857 0.0000 0.7857
11 Mg 0.9332 0.6472 0.2861